Below is an optimized crystal structure of Ba2ReHg, with properties calculated at the GGA-PBE level.

Properties
Energy in eV/atom: -3.494
ΔH_f (0 K) in meV/atom: 655
Mass density in kg/m³: 8050
Magnetic moment in μB per cell: 0.0

a = 3.800 Å, b = 3.800 Å, c = 9.448 Å
α = 90.00°, β = 90.00°, γ = 90.00°
Atoms (fractional coordinates):
Ba  0.000  0.000  0.915
Ba  0.500  0.500  0.342
Re  0.500  0.500  0.666
Hg  0.000  0.000  0.577